# MnBr2O GGA+U optimized geometry
# Electronic total energy, eV/cell: -55.8
# D(E_F), states/eV/f.u.: 0.000
data_MnBr2O
_cell_length_a 7.269
_cell_length_b 7.269
_cell_length_c 7.449
_cell_angle_alpha 90.00
_cell_angle_beta 90.00
_cell_angle_gamma 90.00
_symmetry_space_group_name_H-M 'I -4 2 d'
_symmetry_Int_Tables_number 122
_symmetry_space_group_name_Hall 'I -4 2bw'
loop_
_atom_site_label
_atom_site_fract_x
_atom_site_fract_y
_atom_site_fract_z
_atom_site_occupancy
Mn1 0.000 0.000 0.000 1
Br1 0.206 0.250 0.125 1
O1 0.000 0.000 0.500 1